No. 1
Density functional theory data (GGA-PBE) for a relaxed structure of Li2TeHPt.

a b c (Å): 4.1773 4.1773 3.9236
angles (deg): 90.00 90.00 90.00
Closest atoms and distances in Å follow each position.
Fractional positions:
Te  0.5000  0.5000  0.5000  8 Li 2.87, 4 Pt 2.95
Li  0.0000  0.5000  0.0000  2 H 2.09
Li  0.5000  0.0000  0.0000  2 H 2.09
Pt  0.0000  0.0000  0.5000  2 H 1.96
H  0.0000  0.0000  0.0000  2 Pt 1.96, 4 Li 2.09

## Properties
DOS(E_F) = 0.329 states/eV per atom
space group = P4/mmm, No. 123

No. 2
Density functional theory data (GGA-PBE) for a relaxed structure of Li2TiHPt.

a b c (Å): 3.6778 3.6778 4.4105
angles (deg): 90.00 90.00 90.00
Closest atoms and distances in Å follow each position.
Fractional positions:
Li  0.0000  0.5000  0.0000  2 H 1.84
Li  0.5000  0.0000  0.0000  2 H 1.84
H  0.0000  0.0000  0.0000  4 Li 1.84
Ti  0.0000  0.0000  0.5000  2 H 2.21
Pt  0.5000  0.5000  0.5000  4 Ti 2.60, 8 Li 2.87

## Properties
DOS(E_F) = 0.219 states/eV per atom
space group = P4/mmm, No. 123

No. 3
Density functional theory data (GGA-PBE) for a relaxed structure of LiTi2HPt.

a b c (Å): 4.0350 4.0350 3.8068
angles (deg): 90.00 90.00 90.00
Closest atoms and distances in Å follow each position.
Fractional positions:
Ti  0.0000  0.5000  0.0000  2 H 2.02
Ti  0.5000  0.0000  0.0000  2 H 2.02
H  0.0000  0.0000  0.0000  2 Li 1.90, 4 Ti 2.02
Pt  0.5000  0.5000  0.5000  8 Ti 2.77, 4 Li 2.85
Li  0.0000  0.0000  0.5000  2 H 1.90

## Properties
DOS(E_F) = 0.905 states/eV per atom
space group = P4/mmm, No. 123

No. 4
Density functional theory data (GGA-PBE) for a relaxed structure of LiTlHPt2.

a b c (Å): 4.0331 4.0331 4.2241
angles (deg): 90.00 90.00 90.00
Closest atoms and distances in Å follow each position.
Fractional positions:
Pt  0.5000  0.0000  0.0000  2 H 2.02
Pt  0.0000  0.5000  0.0000  2 H 2.02
Li  0.0000  0.0000  0.5000  2 H 2.11
Tl  0.5000  0.5000  0.5000  4 Li 2.85, 8 Pt 2.92
H  0.0000  0.0000  0.0000  4 Pt 2.02, 2 Li 2.11

## Properties
DOS(E_F) = 0.131 states/eV per atom
space group = P4/mmm, No. 123

No. 5
Density functional theory data (GGA-PBE) for a relaxed structure of LiTlH6Pt.

a b c (Å): 4.8682 4.8682 5.4062
angles (deg): 90.00 90.00 59.99
Closest atoms and distances in Å follow each position.
Fractional positions:
H  0.6073  0.0596  0.3194  1 Pt 1.65
H  0.3330  0.6073  0.3194  1 Pt 1.65
H  0.3330  0.0597  0.6806  1 Pt 1.65
H  0.0596  0.3330  0.3194  1 Pt 1.65
H  0.6073  0.3330  0.6806  1 Pt 1.65
H  0.0596  0.6074  0.6806  1 Pt 1.65
Tl  0.0000  0.0000  0.0000  6 H 2.48
Li  0.6666  0.6667  0.5000  6 H 2.04
Pt  0.3333  0.3333  0.5000  6 H 1.65

## Properties
space group = P312, No. 149

No. 6
Density functional theory data (GGA-PBE) for a relaxed structure of LiV2HPt.

a b c (Å): 3.7280 3.7280 4.0153
angles (deg): 90.00 90.00 90.00
Closest atoms and distances in Å follow each position.
Fractional positions:
Pt  0.5000  0.5000  0.5000  4 Li 2.64, 8 V 2.74
H  0.0000  0.0000  0.0000  4 V 1.86, 2 Li 2.01
V  0.5000  0.0000  0.0000  2 H 1.86
V  0.0000  0.5000  0.0000  2 H 1.86
Li  0.0000  0.0000  0.5000  2 H 2.01

## Properties
DOS(E_F) = 0.716 states/eV per atom
space group = P4/mmm, No. 123

No. 7
Density functional theory data (GGA-PBE) for a relaxed structure of Li2YHPt.

a b c (Å): 3.9735 3.9735 4.8030
angles (deg): 90.00 90.00 90.00
Closest atoms and distances in Å follow each position.
Fractional positions:
H  0.0000  0.0000  0.0000  4 Li 1.99
Pt  0.5000  0.5000  0.5000  4 Y 2.81, 8 Li 3.12
Y  0.0000  0.0000  0.5000  2 H 2.40
Li  0.5000  0.0000  0.0000  2 H 1.99
Li  0.0000  0.5000  0.0000  2 H 1.99

## Properties
DOS(E_F) = 0.510 states/eV per atom
space group = P4/mmm, No. 123

No. 8
Density functional theory data (GGA-PBE) for a relaxed structure of LiY2HPt6.

a b c (Å): 6.0544 6.0402 5.8784
angles (deg): 60.97 61.05 88.68
Closest atoms and distances in Å follow each position.
Fractional positions:
Pt  0.2742  0.2732  0.9773  1 H 2.05, 1 Li 2.28
Pt  0.7344  0.2638  0.0008  1 H 1.99
Pt  0.7258  0.7268  0.0227  1 H 2.05, 1 Li 2.28
Pt  0.2746  0.2737  0.4753  1 H 2.06, 1 Li 2.29
Pt  0.2656  0.7362  0.9992  1 H 1.99
Pt  0.7254  0.7263  0.5247  1 H 2.06, 1 Li 2.29
Y  0.7642  0.2379  0.4989  12 Pt 2.95-3.18
Y  0.2358  0.7621  0.5011  12 Pt 2.95-3.18
Li  0.0000  0.0000  0.0000  6 Pt 2.24-2.29
H  0.5000  0.5000  0.0000  6 Pt 1.99-2.06

## Properties
DOS(E_F) = 0.049 states/eV per atom
space group = P-1, No. 2

No. 9
Density functional theory data (GGA-PBE) for a relaxed structure of LiZn2HPt.

a b c (Å): 4.0398 4.0398 3.5826
angles (deg): 90.00 90.00 90.00
Closest atoms and distances in Å follow each position.
Fractional positions:
Zn  0.0000  0.5000  0.0000  2 H 2.02
Zn  0.5000  0.0000  0.0000  2 H 2.02
H  0.0000  0.0000  0.0000  2 Li 1.79
Pt  0.5000  0.5000  0.5000  8 Zn 2.70, 4 Li 2.86
Li  0.0000  0.0000  0.5000  2 H 1.79

## Properties
DOS(E_F) = 0.233 states/eV per atom
space group = P4/mmm, No. 123

No. 10
Density functional theory data (GGA-PBE) for a relaxed structure of LiZnHPt2.

a b c (Å): 3.9767 3.9767 3.8223
angles (deg): 90.00 90.00 90.00
Closest atoms and distances in Å follow each position.
Fractional positions:
Zn  0.0000  0.0000  0.5000  2 H 1.91
Pt  0.0000  0.5000  0.0000  2 H 1.99
Pt  0.5000  0.0000  0.0000  2 H 1.99
Li  0.5000  0.5000  0.5000  8 Pt 2.76, 4 Zn 2.81
H  0.0000  0.0000  0.0000  2 Zn 1.91, 4 Pt 1.99

## Properties
DOS(E_F) = 0.206 states/eV per atom
space group = P4/mmm, No. 123

No. 11
Density functional theory data (GGA-PBE) for a relaxed structure of LiZnHPt2.

a b c (Å): 3.9753 3.9753 3.7288
angles (deg): 90.00 90.00 90.00
Closest atoms and distances in Å follow each position.
Fractional positions:
Pt  0.5000  0.0000  0.0000  2 H 1.99
Pt  0.0000  0.5000  0.0000  2 H 1.99
H  0.0000  0.0000  0.0000  2 Li 1.86, 4 Pt 1.99
Li  0.0000  0.0000  0.5000  2 H 1.86
Zn  0.5000  0.5000  0.5000  8 Pt 2.73, 4 Li 2.81

## Properties
DOS(E_F) = 0.103 states/eV per atom
space group = P4/mmm, No. 123

No. 12
Density functional theory data (GGA-PBE) for a relaxed structure of LiZnH2Pt.

a b c (Å): 3.6205 4.8495 3.6205
angles (deg): 90.00 90.00 90.00
Closest atoms and distances in Å follow each position.
Fractional positions:
Pt  0.0000  0.0000  0.0000  4 H 1.81
Zn  0.0000  0.5000  0.0000  2 Pt 2.42, 4 Li 2.56
H  0.5000  0.0000  0.0000  2 Pt 1.81
H  0.0000  0.0000  0.5000  2 Pt 1.81
Li  0.5000  0.5000  0.5000  4 Zn 2.56

## Properties
DOS(E_F) = 0.162 states/eV per atom
space group = P4/mmm, No. 123

Across the entries above, VASP energy takes the values -19.2; -23.4; -29.5; -21.3; -32.0; -30.7; -22.6; -61.4; -15.3; -20.3; -21.2; -16.2 eV/cell, respectively.
Across the entries above, V takes the values 68.47; 59.66; 61.98; 68.71; 110.95; 55.80; 75.83; 158.05; 58.47; 60.45; 58.93; 63.57 Å³/f.u., respectively.